Compound: GdTmMnOs
Source: the Alexandria database
Functional: PBE
Structure: optimized geometry

Structure (POSCAR):
```
GdTmMnOs
1.0
4.889 0.000 0.000
2.445 4.234 0.000
2.445 1.411 3.992
Mn Gd Os Tm
1 1 1 1
Direct
0.750 0.750 0.750
0.000 0.000 0.000
0.250 0.250 0.250
0.500 0.500 0.500
```

- energy relative to the elements (eV per atom) = 0.009


Compound: HgOs2N
Source: the Alexandria database
Functional: PBE
Structure: optimized geometry

Structure (POSCAR):
```
HgOs2N
1.0
-2.575 0.055 3.491
-2.843 3.230 0.547
-4.250 -0.756 -0.427
Hg N Os
1 1 2
Direct
0.500 0.500 0.500
0.000 0.000 0.000
0.750 0.750 0.750
0.250 0.250 0.250
```

- formation energy (no corrections) (meV per atom) = 2147
- distance to the lowest polymorph of the same formula (meV/atom) = 1251


Compound: MgSc2Se4
Source: the Alexandria database
Functional: PBE
Structure: optimized geometry

Structure (POSCAR):
```
MgSc2Se4
1.0
6.633 0.000 0.000
0.000 7.799 0.000
0.000 0.000 13.463
Se Sc Mg
16 8 4
Direct
0.205 0.250 0.589
0.255 0.750 0.079
0.245 0.750 0.579
0.705 0.750 0.911
0.273 0.495 0.829
0.295 0.250 0.089
0.745 0.250 0.921
0.727 0.995 0.171
0.227 0.005 0.329
0.755 0.250 0.421
0.727 0.505 0.171
0.227 0.495 0.329
0.773 0.505 0.671
0.795 0.750 0.411
0.273 0.005 0.829
0.773 0.995 0.671
0.504 0.250 0.261
0.000 0.500 0.500
0.004 0.750 0.239
0.500 0.500 0.000
0.000 0.000 0.500
0.500 0.000 0.000
0.496 0.750 0.739
0.996 0.250 0.761
0.415 0.750 0.407
0.915 0.250 0.093
0.585 0.250 0.593
0.085 0.750 0.907
```

- formation energy (no corrections) (meV per atom) = -1531
- distance to the lowest polymorph of the same formula (meV/atom) = 50


Compound: BaSmCu2Se4
Source: the Alexandria database
Functional: PBE
Structure: optimized geometry

Structure (POSCAR):
```
BaSmCu2Se4
1.0
-6.164 -3.106 1.294
-0.659 -4.773 4.462
-3.674 1.528 5.225
Cu Se Ba Sm
2 4 1 1
Direct
0.751 0.749 0.749
0.249 0.251 0.251
0.510 0.490 0.933
0.067 0.933 0.490
0.933 0.510 0.067
0.490 0.067 0.510
0.000 0.000 0.000
0.500 0.500 0.500
```

- formation energy (no corrections) (meV per atom) = -1029


Compound: GdDyBeHg
Source: the Alexandria database
Functional: PBE
Structure: optimized geometry

Structure (POSCAR):
```
GdDyBeHg
1.0
5.118 0.000 0.000
2.559 4.432 0.000
2.559 1.477 4.179
Hg Gd Dy Be
1 1 1 1
Direct
0.500 0.500 0.500
0.750 0.750 0.750
0.250 0.250 0.250
0.000 0.000 0.000
```

- energy relative to the elements (eV per atom) = -0.119


Compound: PmErTm
Source: the Alexandria database
Functional: PBE
Structure: optimized geometry

Structure (POSCAR):
```
PmErTm
1.0
3.547 0.000 0.000
0.000 6.220 0.000
0.000 0.000 8.830
Pm Er Tm
2 2 2
Direct
0.000 0.000 0.500
0.000 0.500 0.500
0.500 0.750 0.801
0.500 0.250 0.199
0.000 0.750 0.129
0.000 0.250 0.871
```

- energy relative to the elements (eV per atom) = 0.184
- distance to the lowest polymorph of the same formula (meV/atom) = 159


Compound: Cs3NaPb
Source: the Alexandria database
Functional: PBE
Structure: optimized geometry

Structure (POSCAR):
```
Cs3NaPb
1.0
7.374 0.000 0.000
0.000 7.374 0.000
0.000 0.000 7.374
Cs Pb Na
3 1 1
Direct
0.000 0.000 0.500
0.000 0.500 0.000
0.500 0.000 0.000
0.500 0.500 0.500
0.000 0.000 0.000
```

- energy relative to the elements (eV per atom) = 0.312
- distance to the lowest polymorph of the same formula (meV/atom) = 359